Computed, not measured: a PBEsol-optimized structure of MgCoNi at the SCAN level of DFT. Values from VASP.

```
&SYSTEM
  ibrav = 0, nat = 3, ntyp = 3
/
ATOMIC_SPECIES
Co 58.93 Co.upf
Mg 24.30 Mg.upf
Ni 58.69 Ni.upf
ATOMIC_POSITIONS crystal
Co 0.250 0.250 0.250
Mg 0.000 0.000 0.000
Ni 0.500 0.500 0.500
CELL_PARAMETERS angstrom
-1.617 -2.688 -2.400
0.767 -3.838 0.531
-2.823 -2.410 1.351
```

ΔE to the lowest computed polymorph: 1.65 eV per formula unit
M_tot: 2.29 μB per cell